# 1
## LiTePH (PBE)

Data for a relaxed LiTePH crystal.

Cell: 4.539 3.806 8.470 Å, 90.00 90.00 90.00°
Fractional positions:
Li 0.500 0.000 0.337
Li 0.500 0.500 0.837
Te 0.000 0.000 0.555
Te 0.000 0.500 0.055
P 0.500 0.000 0.046
P 0.500 0.500 0.546
H 0.000 0.000 0.351
H 0.000 0.500 0.851

Summary:
* energy above the most stable polymorph in this dataset: 0.273 eV per atom

***

# 2
## LiTePH (PBE)

Data for a relaxed LiTePH crystal.

Cell: 3.342 4.182 6.025 Å, 75.83 74.35 89.81°
Fractional positions:
Li 0.861 0.326 0.392
Te 0.581 0.899 0.938
P 0.371 0.831 0.370
H 0.593 0.488 0.927

Summary:
* energy above the most stable polymorph in this dataset: 0.247 eV per atom

***

# 3
## LiTePH (PBE)

Data for a relaxed LiTePH crystal.

Cell: 4.605 4.708 4.919 Å, 62.32 89.98 89.98°
Fractional positions:
Li 0.489 0.836 0.189
Te 0.493 0.168 0.555
P 0.993 0.960 0.457
H 0.993 0.679 0.749

Summary:
* energy above the most stable polymorph in this dataset: 0.000 eV per atom

***

# 4
## LiTePH (PBE)

Data for a relaxed LiTePH crystal.

Cell: 4.534 3.417 11.375 Å, 90.00 110.75 90.00°
Fractional positions:
Li 0.697 0.000 0.237
Li 0.697 0.500 0.737
Te 0.157 0.000 0.684
Te 0.157 0.500 0.184
P 0.103 0.000 0.459
P 0.103 0.500 0.959
H 0.434 0.000 0.480
H 0.434 0.500 0.980

Summary:
* energy above the most stable polymorph in this dataset: 0.033 eV per atom

***

# 5
## Li2YPH (PBE)

Data for a relaxed Li2YPH crystal.

Cell: 4.012 4.012 4.529 Å, 90.00 90.00 90.00°
Fractional positions:
Y 0.000 0.000 0.500
P 0.500 0.500 0.500
H 0.000 0.000 0.000
Li 0.000 0.500 0.000
Li 0.500 0.000 0.000

Summary:
* electronic total energy: -4.489 eV per atom

***

# 6
## LiPaH4 (PBE)

Data for a relaxed LiPaH4 crystal.

Cell: 3.246 3.246 5.363 Å, 89.99 90.00 90.00°
Fractional positions:
Li 0.001 0.997 0.498
Pa 0.501 0.497 0.998
H 0.501 0.997 0.274
H 0.501 0.997 0.722
H 0.001 0.497 0.722
H 0.001 0.497 0.275

Summary:
* electronic total energy: -4.390 eV per atom

***

# 7
## Li6PaH12 (PBE)

Data for a relaxed Li6PaH12 crystal.

Cell: 5.754 5.754 5.754 Å, 109.47 109.47 109.47°
Fractional positions:
Li 0.330 0.500 0.830
Li 0.670 0.500 0.170
Li 0.500 0.830 0.330
Li 0.500 0.170 0.670
Li 0.830 0.330 0.500
Li 0.170 0.670 0.500
Pa 0.000 0.000 0.000
H 0.298 0.149 0.852
H 0.298 0.446 0.148
H 0.702 0.554 0.852
H 0.702 0.851 0.148
H 0.149 0.852 0.298
H 0.446 0.148 0.298
H 0.554 0.852 0.702
H 0.851 0.148 0.702
H 0.852 0.298 0.149
H 0.148 0.298 0.446
H 0.852 0.702 0.554
H 0.148 0.702 0.851

Summary:
* electronic total energy: -3.377 eV per atom

***

# 8
## Li2PaH4 (PBE)

Data for a relaxed Li2PaH4 crystal.

Cell: 4.014 4.014 6.721 Å, 72.63 72.63 90.00°
Fractional positions:
H 0.822 0.822 0.355
H 0.178 0.178 0.645
H 0.000 0.500 0.000
H 0.500 0.000 0.000
Pa 0.000 0.000 0.000
Li 0.677 0.677 0.646
Li 0.323 0.323 0.354

Summary:
* electronic total energy: -3.745 eV per atom

***

# 9
## Li5Pa3H12 (PBE)

Data for a relaxed Li5Pa3H12 crystal.

Cell: 10.317 10.317 10.317 Å, 109.47 109.47 109.47°
Fractional positions:
Pa 0.750 0.375 0.125
Pa 0.875 0.750 0.125
Pa 0.375 0.750 0.625
Pa 0.250 0.125 0.375
Pa 0.875 0.125 0.250
Pa 0.375 0.625 0.250
Pa 0.625 0.375 0.750
Pa 0.125 0.875 0.750
Pa 0.750 0.875 0.625
Pa 0.625 0.250 0.375
Pa 0.125 0.250 0.875
Pa 0.250 0.625 0.875
Li 0.125 0.375 0.250
Li 0.000 0.500 0.000
Li 0.000 0.000 0.000
Li 0.375 0.250 0.125
Li 0.500 0.000 0.500
Li 0.500 0.500 0.000
Li 0.125 0.750 0.375
Li 0.750 0.125 0.875
Li 0.750 0.625 0.375
Li 0.375 0.125 0.750
Li 0.625 0.875 0.250
Li 0.500 0.500 0.500
Li 0.500 0.000 0.000
Li 0.000 0.000 0.500
Li 0.250 0.375 0.625
Li 0.250 0.875 0.125
Li 0.000 0.500 0.500
Li 0.875 0.250 0.625
Li 0.625 0.750 0.875
Li 0.875 0.625 0.750
H 0.717 0.129 0.039
H 0.322 0.539 0.410
H 0.961 0.371 0.283
H 0.539 0.217 0.129
H 0.588 0.717 0.678
H 0.961 0.590 0.178
H 0.322 0.783 0.412
H 0.090 0.912 0.129
H 0.590 0.961 0.678
H 0.717 0.588 0.178
H 0.783 0.461 0.371
H 0.822 0.910 0.039
H 0.129 0.717 0.539
H 0.371 0.410 0.088
H 0.088 0.910 0.371
H 0.412 0.129 0.590
H 0.088 0.178 0.217
H 0.461 0.678 0.090
H 0.822 0.912 0.283
H 0.129 0.412 0.090
H 0.371 0.961 0.783
H 0.590 0.629 0.412
H 0.910 0.822 0.539
H 0.783 0.322 0.912
H 0.410 0.371 0.588
H 0.090 0.178 0.461
H 0.217 0.678 0.088
H 0.178 0.088 0.717
H 0.629 0.039 0.217
H 0.871 0.588 0.910
H 0.539 0.322 0.910
H 0.588 0.871 0.410
H 0.912 0.822 0.783
H 0.912 0.090 0.629
H 0.871 0.283 0.461
H 0.178 0.090 0.961
H 0.629 0.590 0.912
H 0.410 0.039 0.322
H 0.283 0.412 0.822
H 0.217 0.539 0.629
H 0.910 0.088 0.871
H 0.678 0.217 0.588
H 0.461 0.783 0.871
H 0.039 0.410 0.822
H 0.412 0.283 0.322
H 0.039 0.629 0.717
H 0.678 0.461 0.590
H 0.283 0.871 0.961

Summary:
* electronic total energy: -4.152 eV per atom

***

# 10
## LiPa2H (PBE)

Data for a relaxed LiPa2H crystal.

Cell: 3.111 3.111 9.668 Å, 80.74 80.74 60.00°
Fractional positions:
H 0.500 0.500 0.500
Pa 0.112 0.112 0.665
Pa 0.888 0.888 0.335
Li 0.000 0.000 0.000

Summary:
* electronic total energy: -5.936 eV per atom

***

# 11
## LiPaH6Ru (PBE)

Data for a relaxed LiPaH6Ru crystal.

Cell: 4.403 4.403 4.294 Å, 90.00 90.00 60.00°
Fractional positions:
Li 0.667 0.667 0.500
Pa 0.000 0.000 0.000
H 0.008 0.496 0.217
H 0.496 0.008 0.783
H 0.496 0.496 0.783
H 0.008 0.496 0.783
H 0.496 0.496 0.217
H 0.496 0.008 0.217
Ru 0.333 0.333 0.500

Summary:
* electronic total energy: -4.794 eV per atom

***

# 12
## LiHPb3 (PBE)

Data for a relaxed LiHPb3 crystal.

Cell: 5.104 5.104 5.104 Å, 90.00 90.00 90.00°
Fractional positions:
Pb 0.000 0.500 0.000
Pb 0.000 0.000 0.500
Pb 0.500 0.000 0.000
H 0.500 0.500 0.500
Li 0.000 0.000 0.000

Summary:
* energy above the most stable polymorph in this dataset: 0.479 eV per atom

***

# 13
## Li2H4Pb (PBE)

Data for a relaxed Li2H4Pb crystal.

Cell: 4.380 4.380 6.518 Å, 70.37 70.37 90.00°
Fractional positions:
Pb 0.000 0.000 0.000
H 0.807 0.807 0.386
H 0.193 0.193 0.614
H 0.000 0.500 0.000
H 0.500 0.000 0.000
Li 0.653 0.653 0.693
Li 0.347 0.347 0.307

Summary:
* electronic total energy: -2.783 eV per atom

***

# 14
## LiH2Pb2 (PBE)

Data for a relaxed LiH2Pb2 crystal.

Cell: 6.373 6.373 4.586 Å, 90.00 90.00 90.00°
Fractional positions:
Pb 0.192 0.692 0.500
Pb 0.692 0.808 0.500
Pb 0.808 0.308 0.500
Pb 0.308 0.192 0.500
H 0.228 0.728 0.000
H 0.728 0.772 0.000
H 0.772 0.272 0.000
H 0.272 0.228 0.000
Li 0.000 0.000 0.000
Li 0.500 0.500 0.000

Summary:
* energy above the most stable polymorph in this dataset: 0.000 eV per atom

***

# 15
## LiHPb3 (PBE)

Data for a relaxed LiHPb3 crystal.

Cell: 4.926 4.926 4.926 Å, 90.00 90.00 90.00°
Fractional positions:
Pb 0.000 0.500 0.000
Pb 0.000 0.000 0.500
Pb 0.500 0.000 0.000
H 0.000 0.000 0.000
Li 0.500 0.500 0.500

Summary:
* energy above the most stable polymorph in this dataset: 0.000 eV per atom

***

# 16
## LiH2Pb2 (PBE)

Data for a relaxed LiH2Pb2 crystal.

Cell: 3.525 3.525 7.458 Å, 76.33 76.33 90.00°
Fractional positions:
Pb 0.361 0.361 0.277
Pb 0.639 0.639 0.723
H 0.750 0.250 0.500
H 0.250 0.750 0.500
Li 0.000 0.000 0.000

Summary:
* energy above the most stable polymorph in this dataset: 0.180 eV per atom

***

# 17
## Li6HPb2 (PBE)

Data for a relaxed Li6HPb2 crystal.

Cell: 5.843 5.843 8.984 Å, 90.00 90.02 90.00°
Fractional positions:
Li 0.000 0.000 0.268
Li 0.760 0.759 0.500
Li 0.740 0.740 0.000
Li 0.760 0.240 0.500
Li 0.740 0.259 0.000
Li 0.500 0.500 0.232
Li 0.000 0.000 0.732
Li 0.240 0.241 0.500
Li 0.260 0.260 0.000
Li 0.240 0.760 0.500
Li 0.260 0.741 0.000
Li 0.500 0.500 0.768
H 0.500 0.500 0.000
H 0.000 0.000 0.500
Pb 0.000 0.500 0.750
Pb 0.500 0.000 0.750
Pb 0.500 0.000 0.250
Pb 0.000 0.500 0.250

Summary:
* electronic total energy: -2.770 eV per atom

***

# 18
## LiHPb (PBE)

Data for a relaxed LiHPb crystal.

Cell: 3.206 3.206 5.773 Å, 106.12 106.12 90.00°
Fractional positions:
Pb 0.028 0.028 0.057
H 0.233 0.233 0.467
Li 0.738 0.738 0.477

Summary:
* energy above the most stable polymorph in this dataset: 0.029 eV per atom

***

# 19
## LiHPb (PBE)

Data for a relaxed LiHPb crystal.

Cell: 4.887 5.938 4.964 Å, 78.13 73.83 54.78°
Fractional positions:
Pb 0.198 0.212 0.107
Pb 0.756 0.630 0.637
H 0.960 0.024 0.267
H 0.390 0.559 0.730
Li 0.976 0.815 0.019
Li 0.539 0.237 0.511

Summary:
* energy above the most stable polymorph in this dataset: 0.000 eV per atom

***

# 20
## Li2H6Pb (PBE)

Data for a relaxed Li2H6Pb crystal.

Cell: 4.984 4.984 4.984 Å, 60.00 60.00 60.00°
Fractional positions:
Pb 0.000 0.000 0.000
H 0.285 0.715 0.285
H 0.715 0.285 0.285
H 0.285 0.715 0.715
H 0.715 0.285 0.715
H 0.715 0.715 0.285
H 0.285 0.285 0.715
Li 0.750 0.750 0.750
Li 0.250 0.250 0.250

Summary:
* electronic total energy: -2.660 eV per atom

***

| no. | N(E_F) (states/eV per cell) | total magnetization (μB/cell) |
| --- | --- | --- |
| 1 | 1.45 | 0.0 |
| 2 | 0.53 | 0.0 |
| 3 | 0.35 | 0.0 |
| 4 | 1.46 | 0.0 |
| 5 | 1.47 | 0.0 |
| 6 | 2.60 | 0.0 |
| 7 | 6.33 | 0.0 |
| 8 | 4.28 | 0.2 |
| 9 | 49.17 | 15.5 |
| 10 | 7.39 | 0.0 |
| 11 | 3.73 | 0.0 |
| 12 | 2.51 | 0.0 |
| 13 | 0.26 | 0.0 |
| 14 | 3.40 | 0.0 |
| 15 | 1.05 | 0.0 |
| 16 | 2.02 | 0.0 |
| 17 | 4.88 | 0.0 |
| 18 | 0.98 | 0.0 |
| 19 | 0.32 | 0.0 |
| 20 | 1.22 | 0.0 |